Below is crystalline CeGaCuNi3 at its relaxed geometry, with properties calculated at the GGA-PBE level.

E_form = -0.208 eV/atom

abc: 6.382 6.382 6.085
angles: 90.00 90.00 132.12
Atoms (fractional coordinates):
Ce: 0.170 0.830 0.750
Ce: 0.830 0.170 0.250
Ga: 0.131 0.869 0.250
Ga: 0.869 0.131 0.750
Cu: 0.395 0.605 0.750
Cu: 0.605 0.395 0.250
Ni: 0.248 0.248 0.000
Ni: 0.248 0.248 0.500
Ni: 0.350 0.650 0.250
Ni: 0.650 0.350 0.750
Ni: 0.752 0.752 0.000
Ni: 0.752 0.752 0.500

=====

Below is crystalline Ce2GaCu2Pd5 at its relaxed geometry, with properties calculated at the GGA-PBE level.

E_form = -0.570 eV/atom

abc: 9.595 9.595 3.821
angles: 90.00 90.00 90.00
Atoms (fractional coordinates):
Ce: 0.176 0.324 0.000
Ce: 0.324 0.824 0.000
Ce: 0.676 0.176 0.000
Ce: 0.824 0.676 0.000
Ga: 0.000 0.000 0.000
Ga: 0.500 0.500 0.000
Cu: 0.123 0.623 0.000
Cu: 0.377 0.123 0.000
Cu: 0.623 0.877 0.000
Cu: 0.877 0.377 0.000
Pd: 0.000 0.500 0.500
Pd: 0.064 0.798 0.500
Pd: 0.202 0.064 0.500
Pd: 0.298 0.564 0.500
Pd: 0.436 0.298 0.500
Pd: 0.500 0.000 0.500
Pd: 0.564 0.702 0.500
Pd: 0.702 0.436 0.500
Pd: 0.798 0.936 0.500
Pd: 0.936 0.202 0.500

=====

Below is crystalline Ce2Ga4CuPd3 at its relaxed geometry, with properties calculated at the GGA-PBE level.

E_form = -0.660 eV/atom

abc: 4.319 4.319 10.246
angles: 90.00 90.00 90.00
Atoms (fractional coordinates):
Ce: 0.000 0.500 0.249
Ce: 0.500 0.000 0.751
Ga: 0.000 0.000 0.500
Ga: 0.000 0.500 0.876
Ga: 0.500 0.000 0.124
Ga: 0.500 0.500 0.500
Cu: 0.500 0.500 0.000
Pd: 0.000 0.000 0.000
Pd: 0.000 0.500 0.634
Pd: 0.500 0.000 0.366

=====

Below is crystalline CeGa2CuPd2 at its relaxed geometry, with properties calculated at the GGA-PBE level.

E_form = -0.294 eV/atom

abc: 4.548 4.548 5.590
angles: 90.00 90.00 90.00
Atoms (fractional coordinates):
Ce: 0.000 0.000 0.000
Ga: 0.000 0.500 0.500
Ga: 0.500 0.000 0.500
Cu: 0.000 0.000 0.500
Pd: 0.500 0.500 0.242
Pd: 0.500 0.500 0.758